No. 1
Here is an optimized crystal structure of CsMgTlCl6 from Alexandria via LeMat-Bulk. Energies are from PBE.

Energy relative to the elements, uncorrected ... -1.397 eV/atom

Cell: 6.7550 6.7550 7.8153 Å, 90.00 90.00 120.00°
Closest atoms and distances in Å follow each position.
Space group P312 (No. 149)
Inequivalent atoms, fractional coordinates:
Cs 0.0000 0.0000 0.0000  6 Cl 3.52
Mg 0.3333 0.6667 0.5000  6 Cl 2.54
Tl 0.6667 0.3333 0.5000  6 Cl 2.64
Cl 0.0117 0.3840 0.6907  1 Mg 2.54, 1 Tl 2.64

No. 2
Here is an optimized crystal structure of BaZnSn2F8 from Alexandria via LeMat-Bulk. Energies are from PBE.

Energy relative to the elements, uncorrected ... -2.650 eV/atom

Cell: 4.4015 6.2259 7.9205 Å, 88.61 82.89 87.89°
Closest atoms and distances in Å follow each position.
Space group P-1 (No. 2)
Inequivalent atoms, fractional coordinates:
Ba 0.0000 0.0000 0.0000  8 F 2.64-2.77
Zn 0.0000 0.0000 0.5000  4 F 1.90-2.09
Sn 0.4493 0.5462 0.2640  4 F 2.14-2.36
F 0.0088 0.8250 0.6992  1 Zn 1.90
F 0.0421 0.3380 0.7659  2 Sn 2.29-2.36
F 0.4055 0.8492 0.3887  1 Zn 2.09, 1 Sn 2.14
F 0.4988 0.2626 0.9724  1 Sn 2.19

No. 3
Here is an optimized crystal structure of As2Pd4Pb from Alexandria via LeMat-Bulk. Energies are from PBE.

ΔH_f (0 K) ... -0.314 eV/atom

Cell: 8.3244 8.3244 3.6796 Å, 90.00 90.00 90.00°
Closest atoms and distances in Å follow each position.
Space group P4_2/mnm (No. 136)
Inequivalent atoms, fractional coordinates:
As 0.2321 0.2321 0.0000  6 Pd 2.55
Pd 0.0619 0.6822 0.0000  3 As 2.55
Pb 0.0000 0.0000 0.5000  6 As 3.15-3.29, 8 Pd 3.26

No. 4
Here is an optimized crystal structure of La2ZrRe from Alexandria via LeMat-Bulk. Energies are from PBE.

ΔH_f (0 K) ... 0.520 eV/atom
Excess energy over the best structure of this formula in the dataset ... 0.413 eV per atom

Cell: 6.1795 10.3385 3.2025 Å, 90.00 112.13 90.00°
Closest atoms and distances in Å follow each position.
Space group C2/m (No. 12)
Inequivalent atoms, fractional coordinates:
La 0.2500 0.2500 0.0000  4 La 3.09-3.20, 2 Zr 3.13, 2 Re 3.13
Zr 0.0000 0.0000 0.5000  2 Re 3.09, 4 La 3.13, 2 Zr 3.20
Re 0.0000 0.5000 0.5000  2 Zr 3.09, 4 La 3.13, 2 Re 3.20

No. 5
Here is an optimized crystal structure of Ac8Ni3IrBr4 from Alexandria via LeMat-Bulk. Energies are from PBE.

Energy relative to the elements, uncorrected ... -0.937 eV/atom

Cell: 15.0128 8.6685 9.6501 Å, 90.00 121.31 90.00°
Closest atoms and distances in Å follow each position.
Space group C2/m (No. 12)
Inequivalent atoms, fractional coordinates:
Ac 0.0187 0.2500 0.3065  1 Ir 2.97, 2 Ni 2.97
Ac 0.2302 0.0000 0.6903  3 Ni 2.95
Ac 0.2313 0.5000 0.6935  1 Ir 2.97, 2 Ni 2.97
Ni 0.0000 0.0000 0.5000  6 Ac 2.95-2.97
Ni 0.2500 0.2500 0.5000  6 Ac 2.95-2.97
Ir 0.0000 0.5000 0.5000  6 Ac 2.97
Br 0.0000 0.0000 0.0000  6 Ac 3.55-3.56
Br 0.0000 0.5000 0.0000  6 Ac 3.56-3.57
Br 0.2500 0.2500 0.0000  6 Ac 3.55-3.58

No. 6
Here is an optimized crystal structure of CrFe2Tc from Alexandria via LeMat-Bulk. Energies are from PBE.

ΔH_f (0 K) ... 0.100 eV/atom

Cell: 5.8263 5.8263 5.8263 Å, 90.00 90.00 90.00°
Closest atoms and distances in Å follow each position.
Space group F-43m (No. 216)
Inequivalent atoms, fractional coordinates:
Cr 0.0000 0.0000 0.0000  4 Fe 2.52, 4 Tc 2.52
Fe 0.0000 0.0000 0.5000  4 Fe 2.52, 4 Tc 2.52
Fe 0.2500 0.2500 0.7500  4 Cr 2.52, 4 Fe 2.52
Tc 0.2500 0.2500 0.2500  4 Cr 2.52, 4 Fe 2.52

No. 7
Here is an optimized crystal structure of PmNdEr2P4 from Alexandria via LeMat-Bulk. Energies are from PBE.

ΔH_f (0 K) ... -1.573 eV/atom

Cell: 7.0269 4.0626 7.0333 Å, 90.00 109.48 90.00°
Closest atoms and distances in Å follow each position.
Space group P2/m (No. 10)
Inequivalent atoms, fractional coordinates:
Pm 0.0000 0.0000 0.0000  6 P 2.91
Nd 0.0000 0.5000 0.5000  6 P 2.92
Er 0.5000 0.0000 0.5000  6 P 2.83
Er 0.5000 0.5000 0.0000  6 P 2.82-2.83
P 0.2614 0.0000 0.7547  3 Er 2.83, 1 Pm 2.91, 2 Nd 2.92
P 0.2606 0.5000 0.2526  3 Er 2.82-2.83, 2 Pm 2.91, 1 Nd 2.92

No. 8
Here is an optimized crystal structure of TaMoAu2 from Alexandria via LeMat-Bulk. Energies are from PBE.

ΔH_f (0 K) ... 0.087 eV/atom
Excess energy over the best structure of this formula in the dataset ... 0.058 eV per atom

Cell: 3.9569 3.9569 8.7126 Å, 90.00 90.00 90.00°
Closest atoms and distances in Å follow each position.
Space group I4/mmm (No. 139)
Inequivalent atoms, fractional coordinates:
Ta 0.0000 0.0000 0.0000  4 Mo 2.80, 8 Au 2.94
Mo 0.0000 0.0000 0.5000  4 Ta 2.80, 8 Au 2.94
Au 0.0000 0.5000 0.2500  4 Au 2.80, 4 Ta 2.94, 4 Mo 2.94

No. 9
Here is an optimized crystal structure of NaLiSnAu from Alexandria via LeMat-Bulk. Energies are from PBE.

ΔH_f (0 K) ... -0.379 eV/atom

Cell: 6.8230 6.8230 6.8230 Å, 90.00 90.00 90.00°
Closest atoms and distances in Å follow each position.
Space group F-43m (No. 216)
Inequivalent atoms, fractional coordinates:
Na 0.0000 0.0000 0.0000  4 Li 2.95, 4 Au 2.95
Li 0.2500 0.2500 0.7500  4 Sn 2.95, 4 Na 2.95
Sn 0.0000 0.0000 0.5000  4 Li 2.95, 4 Au 2.95
Au 0.2500 0.2500 0.2500  4 Sn 2.95, 4 Na 2.95

No. 10
Here is an optimized crystal structure of PrTl2P2S6 from Alexandria via LeMat-Bulk. Energies are from PBE.

Energy relative to the elements, uncorrected ... -0.593 eV/atom

Cell: 11.7186 6.9847 8.1265 Å, 90.00 118.08 90.00°
Closest atoms and distances in Å follow each position.
Space group C2/m (No. 12)
Inequivalent atoms, fractional coordinates:
Pr 0.0000 0.0000 0.0000  6 S 2.80-2.89
Tl 0.2057 0.0000 0.6935  7 S 3.22-3.57
P 0.0391 0.5000 0.6716  3 S 2.07-2.09
S 0.0568 0.2599 0.3062  1 P 2.07
S 0.2332 0.5000 0.8765  1 P 2.09

No. 11
Here is an optimized crystal structure of LiTb2Ga6 from Alexandria via LeMat-Bulk. Energies are from PBE.

ΔH_f (0 K) ... -0.359 eV/atom
Excess energy over the best structure of this formula in the dataset ... 0.104 eV per atom

Cell: 4.3088 6.8931 13.3687 Å, 90.00 90.00 90.00°
Closest atoms and distances in Å follow each position.
Space group Immm (No. 71)
Inequivalent atoms, fractional coordinates:
Li 0.0000 0.0000 0.0000  4 Ga 3.00
Tb 0.0000 0.5000 0.1251  10 Ga 2.86-3.13
Ga 0.0000 0.1973 0.5000  3 Ga 2.59-2.72
Ga 0.0000 0.3092 0.3153  4 Ga 2.59-2.89, 1 Tb 2.86

No. 12
Here is an optimized crystal structure of Ba2CdSeO6 from Alexandria via LeMat-Bulk. Energies are from PBE.

Energy relative to the elements, uncorrected ... -1.663 eV/atom

Cell: 8.3005 8.3005 8.3005 Å, 90.00 90.00 90.00°
Closest atoms and distances in Å follow each position.
Space group Fm-3m (No. 225)
Inequivalent atoms, fractional coordinates:
Ba 0.2500 0.2500 0.2500  12 O 2.94
Cd 0.0000 0.0000 0.0000  6 O 2.30
Se 0.0000 0.0000 0.5000  6 O 1.85
O 0.0000 0.0000 0.2765  1 Se 1.85

No. 13
Here is an optimized crystal structure of KCd4W from Alexandria via LeMat-Bulk. Energies are from PBE.

ΔH_f (0 K) ... 0.747 eV/atom

Cell: 8.3091 8.3091 8.3091 Å, 90.00 90.00 90.00°
Closest atoms and distances in Å follow each position.
Space group F-43m (No. 216)
Inequivalent atoms, fractional coordinates:
K 0.0000 0.0000 0.0000  12 Cd 3.45, 4 W 3.60
Cd 0.1243 0.1243 0.3757  6 Cd 2.92-2.95
W 0.2500 0.2500 0.7500  12 Cd 3.44, 4 K 3.60

No. 14
Here is an optimized crystal structure of TlCo2Au from Alexandria via LeMat-Bulk. Energies are from PBE.

ΔH_f (0 K) ... 0.439 eV/atom

Cell: 6.1410 6.1531 3.2807 Å, 90.00 90.00 90.00°
Closest atoms and distances in Å follow each position.
Space group Cmmm (No. 65)
Inequivalent atoms, fractional coordinates:
Tl 0.0000 0.0000 0.0000  8 Co 2.72
Co 0.2500 0.2500 0.5000  4 Tl 2.72, 4 Au 2.72
Au 0.0000 0.5000 0.0000  8 Co 2.72

No. 15
Here is an optimized crystal structure of RbH2 from Alexandria via LeMat-Bulk. Energies are from PBE.

Excess energy over the best structure of this formula in the dataset ... 0.000 eV per atom

Cell: 7.0990 7.0991 5.6442 Å, 90.00 128.81 90.00°
Closest atoms and distances in Å follow each position.
Space group C2/m (No. 12)
Inequivalent atoms, fractional coordinates:
Rb 0.0000 0.0000 0.0000  8 H 3.57
H 0.0434 0.5000 0.0868  1 H 0.76

No. 16
Here is an optimized crystal structure of LiNdBiSe3 from Alexandria via LeMat-Bulk. Energies are from PBE.

Energy relative to the elements, uncorrected ... -1.052 eV/atom

Cell: 8.9895 3.9269 9.5824 Å, 90.00 98.46 90.00°
Closest atoms and distances in Å follow each position.
Space group P2_1/m (No. 11)
Inequivalent atoms, fractional coordinates:
Li 0.0896 0.2500 0.0858  4 Se 2.52-2.63
Nd 0.2863 0.7500 0.8354  7 Se 3.00-3.09
Bi 0.3237 0.7500 0.3334  1 Se 2.75
Se 0.0312 0.2500 0.8082  3 Li 2.53-2.63
Se 0.3677 0.2500 0.6157  1 Bi 2.75, 2 Nd 3.05
Se 0.3688 0.2500 0.0778  1 Li 2.52

No. 17
Here is an optimized crystal structure of SrGaAg3 from Alexandria via LeMat-Bulk. Energies are from PBE.

ΔH_f (0 K) ... -0.230 eV/atom
Excess energy over the best structure of this formula in the dataset ... 0.000 eV per atom

Cell: 6.4315 6.4357 6.4607 Å, 90.00 119.71 90.00°
Closest atoms and distances in Å follow each position.
Space group Cm (No. 8)
Inequivalent atoms, fractional coordinates:
Sr 0.0000 0.0000 0.0000  12 Ag 3.43-3.68, 4 Ga 3.49-3.50
Ga 0.1222 0.5000 0.2440  5 Ag 2.57-2.65
Ag 0.3918 0.0000 0.7853  1 Ga 2.57, 4 Ag 2.83
Ag 0.4923 0.2502 0.4849  2 Ga 2.65, 2 Ag 2.83

No. 18
Here is an optimized crystal structure of SmErPt from Alexandria via LeMat-Bulk. Energies are from PBE.

ΔH_f (0 K) ... -0.909 eV/atom
Excess energy over the best structure of this formula in the dataset ... 0.000 eV per atom

Cell: 6.8515 13.3896 7.1414 Å, 90.00 90.00 90.00°
Closest atoms and distances in Å follow each position.
Space group Pbca (No. 61)
Inequivalent atoms, fractional coordinates:
Sm 0.1941 0.1987 0.1062  3 Pt 2.89-3.19
Er 0.0030 0.5307 0.7613  4 Pt 2.81-2.94
Pt 0.2258 0.6025 0.4597  4 Er 2.81-2.94, 2 Sm 2.89-2.91

No. 19
Here is an optimized crystal structure of MgOs2W from Alexandria via LeMat-Bulk. Energies are from PBE.

ΔH_f (0 K) ... 0.287 eV/atom

Cell: 8.8124 2.7874 5.0192 Å, 90.00 97.23 90.00°
Closest atoms and distances in Å follow each position.
Space group C2/m (No. 12)
Inequivalent atoms, fractional coordinates:
Mg 0.0000 0.0000 0.0000  6 Os 2.62-2.79, 2 Mg 2.79, 4 W 2.87
Os 0.2456 0.0000 0.7546  3 Mg 2.62-2.79, 3 W 2.72-2.75, 6 Os 2.79-2.92
W 0.0000 0.5000 0.5000  6 Os 2.72-2.75, 2 W 2.79, 4 Mg 2.87

No. 20
Here is an optimized crystal structure of Ho4AlZn2Ag from Alexandria via LeMat-Bulk. Energies are from PBE.

ΔH_f (0 K) ... -0.353 eV/atom

Cell: 5.0596 5.0596 24.8698 Å, 90.00 90.00 120.00°
Closest atoms and distances in Å follow each position.
Space group R-3m (No. 166, hexagonal axes)
Inequivalent atoms, fractional coordinates:
Ho 0.0000 0.0000 0.1244  1 Al 3.09, 3 Ag 3.10, 4 Zn 3.11-3.17
Ho 0.0000 0.0000 0.3745  4 Zn 3.05-3.09, 3 Al 3.10, 1 Ag 3.12
Al 0.0000 0.0000 0.0000  8 Ho 3.09-3.10
Zn 0.0000 0.0000 0.2519  8 Ho 3.05-3.17
Ag 0.0000 0.0000 0.5000  8 Ho 3.10-3.12

| no. | total magnetic moment (Bohr magnetons per cell) |
| --- | --- |
| 1 | 0.0 |
| 2 | 0.0 |
| 3 | 0.0 |
| 4 | 0.0 |
| 5 | 0.0 |
| 6 | 18.8 |
| 7 | 0.0 |
| 8 | 0.0 |
| 9 | 0.0 |
| 10 | 0.0 |
| 11 | 0.0 |
| 12 | 0.0 |
| 13 | 15.7 |
| 14 | 5.1 |
| 15 | 0.4 |
| 16 | 0.0 |
| 17 | 0.0 |
| 18 | 0.0 |
| 19 | 0.0 |
| 20 | 0.0 |